DFT (GGA-PBE) results for crystalline Tl7As6 at its relaxed geometry.

a = 10.235 Å, b = 10.235 Å, c = 10.235 Å
α = 41.99°, β = 41.99°, γ = 41.99°
Atoms (fractional coordinates):
Tl (0.080, 0.569, 0.569)
Tl (0.431, 0.431, 0.920)
As (0.825, 0.825, 0.825)
As (0.905, 0.905, 0.905)
As (0.327, 0.327, 0.327)
Tl (0.920, 0.431, 0.431)
As (0.095, 0.095, 0.095)
As (0.673, 0.673, 0.673)
Tl (0.569, 0.569, 0.080)
Tl (0.500, 0.500, 0.500)
Tl (0.569, 0.080, 0.569)
As (0.175, 0.175, 0.175)
Tl (0.431, 0.920, 0.431)

Results
Space group = R-3m (166)
Energy = -3.18 eV per atom
Formation enthalpy at 0 K = 239.3 meV/atom
Crystal system = trigonal